A geometry-optimized Ag2BiPt2 structure, computed with PBE.

Output
Volume: 20.39 A^3/atom
Total energy: -4.112 eV per atom
DOS(E_F): 0.651 states/eV/atom
Polymorph energy (0 for the lowest one): 0.161 eV per atom

Unit cell a=7.298 b=7.298 c=7.298 alpha=149.14 beta=149.14 gamma=44.21
Positions (direct):
Ag1 0.103 0.103 0.000
Ag2 0.897 0.897 0.000
Bi1 0.500 0.500 0.000
Pt1 0.250 0.750 0.500
Pt2 0.750 0.250 0.500

A geometry-optimized LiY2Sn9 structure, computed with PBE.

Output
Volume: 25.86 A^3/atom
Total energy: -4.579 eV per atom
DOS(E_F): 0.421 states/eV/atom

Unit cell a=4.652 b=4.652 c=14.338 alpha=90.00 beta=90.00 gamma=90.00
Positions (direct):
Li1 0.000 0.000 0.000
Y1 0.000 0.000 0.337
Y2 0.000 0.000 0.663
Sn1 0.000 0.500 0.161
Sn2 0.000 0.500 0.500
Sn3 0.000 0.500 0.839
Sn4 0.500 0.000 0.161
Sn5 0.500 0.000 0.500
Sn6 0.500 0.000 0.839
Sn7 0.500 0.500 0.000
Sn8 0.500 0.500 0.328
Sn9 0.500 0.500 0.672

A geometry-optimized YPtSCl2 structure, computed with PBE.

Output
Volume: 28.51 A^3/atom
Total energy: -4.521 eV per atom
DOS(E_F): 0.934 states/eV/atom
Polymorph energy (0 for the lowest one): 0.043 eV per atom
ΔE_f (raw): -456 meV per atom

Unit cell a=5.118 b=5.118 c=5.441 alpha=90.00 beta=90.00 gamma=90.00
Positions (direct):
Y1 0.000 0.000 0.000
Pt1 0.500 0.500 0.500
S1 0.000 0.000 0.500
Cl1 0.000 0.500 0.000
Cl2 0.500 0.000 0.000

A geometry-optimized Sc4ZnCdCu2 structure, computed with PBE.

Output
Volume: 18.98 A^3/atom
Total energy: -4.732 eV per atom
DOS(E_F): 0.914 states/eV/atom

Unit cell a=8.233 b=8.233 c=8.233 alpha=33.56 beta=33.56 gamma=33.56
Positions (direct):
Sc1 0.121 0.121 0.121
Sc2 0.371 0.371 0.371
Sc3 0.629 0.629 0.629
Sc4 0.879 0.879 0.879
Zn1 0.000 0.000 0.000
Cd1 0.500 0.500 0.500
Cu1 0.248 0.248 0.248
Cu2 0.752 0.752 0.752

A geometry-optimized Na5Cd2Hg2Au structure, computed with PBE.

Output
Volume: 26.99 A^3/atom
Total energy: -1.392 eV per atom
DOS(E_F): 0.439 states/eV/atom

Unit cell a=12.631 b=12.631 c=3.384 alpha=90.00 beta=90.00 gamma=90.00
Positions (direct):
Na1 0.000 0.500 0.000
Na2 0.008 0.197 0.000
Na3 0.197 0.992 0.000
Na4 0.303 0.492 0.000
Na5 0.492 0.697 0.000
Na6 0.500 0.000 0.000
Na7 0.508 0.303 0.000
Na8 0.697 0.508 0.000
Na9 0.803 0.008 0.000
Na10 0.992 0.803 0.000
Cd1 0.177 0.677 0.500
Cd2 0.323 0.177 0.500
Cd3 0.677 0.823 0.500
Cd4 0.823 0.323 0.500
Hg1 0.156 0.344 0.500
Hg2 0.344 0.844 0.500
Hg3 0.656 0.156 0.500
Hg4 0.844 0.656 0.500
Au1 0.000 0.000 0.500
Au2 0.500 0.500 0.500

A geometry-optimized NiBiSb3 structure, computed with PBE.

Output
Volume: 26.06 A^3/atom
Total energy: -4.167 eV per atom
DOS(E_F): 0.972 states/eV/atom
Polymorph energy (0 for the lowest one): 0.000 eV per atom
ΔE_f (raw): 239 meV per atom

Unit cell a=5.070 b=5.070 c=5.070 alpha=90.00 beta=90.00 gamma=90.00
Positions (direct):
Ni1 0.000 0.000 0.000
Bi1 0.500 0.500 0.500
Sb1 0.000 0.000 0.500
Sb2 0.000 0.500 0.000
Sb3 0.500 0.000 0.000

A geometry-optimized Zr2MnV structure, computed with PBE.

Output
Volume: 19.11 A^3/atom
Total energy: -8.258 eV per atom
DOS(E_F): 1.438 states/eV/atom
Polymorph energy (0 for the lowest one): 0.493 eV per atom

Unit cell a=10.118 b=10.118 c=10.118 alpha=16.91 beta=16.91 gamma=16.91
Positions (direct):
Zr1 0.087 0.087 0.087
Zr2 0.913 0.913 0.913
Mn1 0.000 0.000 0.000
V1 0.500 0.500 0.500

A geometry-optimized La2YCo structure, computed with PBE.

Output
Volume: 30.67 A^3/atom
Total energy: -5.834 eV per atom
DOS(E_F): 1.344 states/eV/atom
Polymorph energy (0 for the lowest one): 0.125 eV per atom

Unit cell a=9.564 b=9.564 c=9.564 alpha=23.56 beta=23.56 gamma=23.56
Positions (direct):
La1 0.000 0.000 0.000
La2 0.219 0.219 0.219
Y1 0.443 0.443 0.443
Co1 0.609 0.609 0.609

A geometry-optimized NaTl2H2 structure, computed with PBE.

Output
Volume: 20.47 A^3/atom
Total energy: -2.312 eV per atom
DOS(E_F): 0.429 states/eV/atom
Polymorph energy (0 for the lowest one): 0.031 eV per atom

Unit cell a=7.434 b=7.434 c=7.434 alpha=150.01 beta=150.01 gamma=42.92
Positions (direct):
Na1 0.000 0.000 0.000
Tl1 0.346 0.346 0.000
Tl2 0.654 0.654 0.000
H1 0.250 0.750 0.500
H2 0.750 0.250 0.500

A geometry-optimized LaPrTeAs structure, computed with PBE.

Output
Volume: 31.47 A^3/atom
Total energy: -5.922 eV per atom
DOS(E_F): 0.735 states/eV/atom
ΔE_f (raw): -1547 meV per atom

Unit cell a=8.089 b=8.089 c=8.089 alpha=31.18 beta=31.18 gamma=31.18
Positions (direct):
La1 0.000 0.000 0.000
Pr1 0.188 0.188 0.188
Te1 0.428 0.428 0.428
As1 0.595 0.595 0.595

A geometry-optimized Ca2Tl3ReO6 structure, computed with PBE.

Output
Volume: 17.24 A^3/atom
Total energy: -6.106 eV per atom
DOS(E_F): 0.404 states/eV/atom
ΔE_f (raw): -1665 meV per atom

Unit cell a=5.771 b=5.771 c=7.635 alpha=100.93 beta=100.93 gamma=118.73
Positions (direct):
Ca1 0.166 0.834 0.000
Ca2 0.834 0.166 0.000
Tl1 0.163 0.837 0.500
Tl2 0.500 0.500 0.500
Tl3 0.837 0.163 0.500
Re1 0.500 0.500 0.000
O1 0.151 0.151 0.844
O2 0.291 0.571 0.149
O3 0.429 0.709 0.851
O4 0.571 0.291 0.149
O5 0.709 0.429 0.851
O6 0.849 0.849 0.156

A geometry-optimized Cs12RbAg5 structure, computed with PBE.

Output
Volume: 71.89 A^3/atom
Total energy: -1.386 eV per atom
DOS(E_F): 0.560 states/eV/atom

Unit cell a=11.900 b=11.900 c=11.900 alpha=112.35 beta=109.38 gamma=106.73
Positions (direct):
Cs1 0.001 0.806 0.195
Cs2 0.172 0.300 0.472
Cs3 0.172 0.700 0.872
Cs4 0.320 0.642 0.322
Cs5 0.320 0.998 0.678
Cs6 0.389 0.194 0.195
Cs7 0.611 0.806 0.805
Cs8 0.680 0.002 0.322
Cs9 0.680 0.358 0.678
Cs10 0.828 0.300 0.128
Cs11 0.828 0.700 0.528
Cs12 0.999 0.194 0.805
Rb1 0.500 0.500 0.000
Ag1 0.000 0.000 0.000
Ag2 0.101 0.601 0.500
Ag3 0.394 0.000 0.394
Ag4 0.606 0.000 0.606
Ag5 0.899 0.399 0.500